(1)
Entry from Alexandria via LeMat-Bulk: BeNF2 after structural relaxation (PBE-GGA).

Cell: 3.3045 3.3045 23.1348 Å, 90.00 90.00 120.00°
With the nearest neighbours (Å) after each atom.
Space group R-3m (No. 166, hexagonal axes)
Inequivalent atoms, fractional coordinates:
Be 0.0000 0.0000 0.0000 [3 per cell]  2 F 1.37
N 0.0000 0.0000 0.5000 [3 per cell]  6 F 3.13, 6 N 3.30
F 0.0000 0.0000 0.0592 [6 per cell]  1 Be 1.37

Values from the calculation:
The energy above the lowest structure with this stoichiometry is 596 meV/atom. Its calculated total energy is -53.5 eV per cell. As for the total magnetization: 3.00 μB per formula unit. The value obtained for the formation energy (no corrections) is -0.51 eV/atom.

=====

(2)
Entry from Alexandria via LeMat-Bulk: BeN2F4 after structural relaxation (PBE-GGA).

Cell: 7.9090 5.9427 10.4414 Å, 90.00 90.00 90.00°
With the nearest neighbours (Å) after each atom.
Space group Pnma (No. 62)
Inequivalent atoms, fractional coordinates:
Be 0.0582 0.2500 0.0833 [4 per cell]  2 F 1.42
N 0.0313 0.7500 0.3433 [4 per cell]  1 F 1.34
N 0.1721 0.7500 0.8560 [4 per cell]  1 F 1.31
F 0.1209 0.0261 0.0915 [8 per cell]  1 Be 1.42
F 0.1826 0.2500 0.4154 [4 per cell]  1 N 1.31
F 0.2004 0.7500 0.3346 [4 per cell]  1 N 1.34

Values from the calculation:
Its calculated total energy is -125.7 eV per cell. As for the total magnetization: 4.00 μB per formula unit. The value obtained for the formation energy (no corrections) is -0.51 eV/atom.

=====

(3)
Entry from Alexandria via LeMat-Bulk: NaBeNF2 after structural relaxation (PBE-GGA).

Cell: 3.9914 3.9914 4.3574 Å, 90.00 90.00 90.00°
With the nearest neighbours (Å) after each atom.
Space group P4/mmm (No. 123)
Inequivalent atoms, fractional coordinates:
Na 0.0000 0.0000 0.0000 [1 per cell]  4 F 2.00, 2 N 2.18
Be 0.5000 0.5000 0.5000 [1 per cell]  4 N 2.82, 8 F 2.95
N 0.0000 0.0000 0.5000 [1 per cell]  2 Na 2.18
F 0.0000 0.5000 0.0000 [2 per cell]  2 Na 2.00

Values from the calculation:
The energy above the lowest structure with this stoichiometry is 1572 meV/atom. Its calculated total energy is -16.1 eV per cell. As for the total magnetization: 2.00 μB per formula unit. The value obtained for the formation energy (no corrections) is 0.21 eV/atom.

=====

(4)
Entry from Alexandria via LeMat-Bulk: NaBeNF2 after structural relaxation (PBE-GGA).

Cell: 3.8334 3.8334 3.4549 Å, 90.00 90.00 90.00°
With the nearest neighbours (Å) after each atom.
Space group P4/mmm (No. 123)
Inequivalent atoms, fractional coordinates:
Na 0.0000 0.0000 0.0000 [1 per cell]  8 F 2.58, 4 N 2.71
Be 0.5000 0.5000 0.5000 [1 per cell]  2 N 1.73, 4 F 1.92
N 0.5000 0.5000 0.0000 [1 per cell]  2 Be 1.73
F 0.0000 0.5000 0.5000 [2 per cell]  2 Be 1.92

Values from the calculation:
The energy above the lowest structure with this stoichiometry is 0 meV/atom. Its calculated total energy is -23.9 eV per cell. As for the total magnetization: 2.00 μB per formula unit. The value obtained for the formation energy (no corrections) is -1.36 eV/atom.

=====

(5)
Entry from Alexandria via LeMat-Bulk: NaBeN2F after structural relaxation (PBE-GGA).

Cell: 3.2473 3.2473 5.3594 Å, 90.00 90.00 90.00°
With the nearest neighbours (Å) after each atom.
Space group P4/mmm (No. 123)
Inequivalent atoms, fractional coordinates:
Na 0.0000 0.0000 0.0000 [1 per cell]  4 F 2.30
Be 0.5000 0.5000 0.5000 [1 per cell]  4 N 1.62
N 0.0000 0.5000 0.5000 [2 per cell]  2 Be 1.62
F 0.5000 0.5000 0.0000 [1 per cell]  4 Na 2.30

Values from the calculation:
The energy above the lowest structure with this stoichiometry is 0 meV/atom. Its calculated total energy is -23.9 eV per cell. As for the total magnetization: 0.80 μB per formula unit. The value obtained for the formation energy (no corrections) is -0.07 eV/atom.

=====

(6)
Entry from Alexandria via LeMat-Bulk: NaBeN2F after structural relaxation (PBE-GGA).

Cell: 4.3664 4.3664 3.9093 Å, 90.00 90.00 90.00°
With the nearest neighbours (Å) after each atom.
Space group P4/mmm (No. 123)
Inequivalent atoms, fractional coordinates:
Na 0.0000 0.0000 0.0000 [1 per cell]  2 F 1.95, 4 N 2.18
Be 0.5000 0.5000 0.5000 [1 per cell]  8 N 2.93, 4 F 3.09
N 0.0000 0.5000 0.0000 [2 per cell]  2 Na 2.18
F 0.0000 0.0000 0.5000 [1 per cell]  2 Na 1.95

Values from the calculation:
The energy above the lowest structure with this stoichiometry is 1690 meV/atom. Its calculated total energy is -15.5 eV per cell. As for the total magnetization: 4.01 μB per formula unit. The value obtained for the formation energy (no corrections) is 1.62 eV/atom.

=====

(7)
Entry from Alexandria via LeMat-Bulk: BeNbNF2 after structural relaxation (PBE-GGA).

Cell: 3.1083 3.1083 6.7533 Å, 90.00 90.00 90.00°
With the nearest neighbours (Å) after each atom.
Space group P4/mmm (No. 123)
Inequivalent atoms, fractional coordinates:
Be 0.0000 0.0000 0.0000 [1 per cell]  4 F 1.55
Nb 0.5000 0.5000 0.5000 [1 per cell]  4 N 2.20
N 0.0000 0.0000 0.5000 [1 per cell]  4 Nb 2.20
F 0.0000 0.5000 0.0000 [2 per cell]  2 Be 1.55

Values from the calculation:
The energy above the lowest structure with this stoichiometry is 0 meV/atom. Its calculated total energy is -33.7 eV per cell. As for the total magnetization: 1.11 μB per formula unit. The value obtained for the formation energy (no corrections) is -1.57 eV/atom.

=====

(8)
Entry from Alexandria via LeMat-Bulk: BeNbNF2 after structural relaxation (PBE-GGA).

Cell: 4.1737 4.1737 4.0406 Å, 90.00 90.00 90.00°
With the nearest neighbours (Å) after each atom.
Space group P4/mmm (No. 123)
Inequivalent atoms, fractional coordinates:
Be 0.0000 0.0000 0.0000 [1 per cell]  8 F 2.90, 4 N 2.95
Nb 0.5000 0.5000 0.5000 [1 per cell]  2 N 2.02, 4 F 2.09
N 0.5000 0.5000 0.0000 [1 per cell]  2 Nb 2.02
F 0.0000 0.5000 0.5000 [2 per cell]  2 Nb 2.09

Values from the calculation:
The energy above the lowest structure with this stoichiometry is 869 meV/atom. Its calculated total energy is -29.4 eV per cell. As for the total magnetization: 0.02 μB per formula unit. The value obtained for the formation energy (no corrections) is -0.71 eV/atom.

=====

Question: Look up the calculated total energy of the sixth one.
Answer: -15.5 eV per cell